# 1
# SbPbI2N

A geometry-optimized SbPbI2N structure (PBE-GGA, the Alexandria database).

```
SbPbI2N
1.0
6.294 0.000 0.000
0.000 6.294 0.000
0.000 0.000 4.214
Sb Pb I N
1 1 2 1
direct
0.000 0.000 0.000 Sb
0.500 0.500 0.500 Pb
0.000 0.500 0.500 I
0.500 0.000 0.500 I
0.500 0.500 0.000 N
```

Formation energy from raw total energies in eV per atom: 0.94
Excess energy over the best structure of this formula in the dataset in meV/atom: 494.0

---

# 2
# CaLaRe

A geometry-optimized CaLaRe structure (PBE-GGA, the Alexandria database).

```
CaLaRe
1.0
4.862 0.000 0.000
-2.431 4.211 0.000
0.000 0.000 3.571
Ca La Re
1 1 1
direct
0.000 0.000 0.000 Ca
0.667 0.333 0.493 La
0.333 0.667 0.523 Re
```

Excess energy over the best structure of this formula in the dataset in meV/atom: 38.2
Energy relative to the elements in meV per atom: 548

---

# 3
# Si3PtS

A geometry-optimized Si3PtS structure (PBE-GGA, the Alexandria database).

```
Si3PtS
1.0
4.387 0.000 0.000
0.000 4.387 0.000
0.000 0.000 4.387
Si Pt S
3 1 1
direct
0.000 0.000 0.500 Si
0.000 0.500 0.000 Si
0.500 0.000 0.000 Si
0.500 0.500 0.500 Pt
0.000 0.000 0.000 S
```

Formation energy from raw total energies in eV per atom: 0.80
Excess energy over the best structure of this formula in the dataset in meV/atom: 293.4

---

# 4
# Co2NiMo

A geometry-optimized Co2NiMo structure (PBE-GGA, the Alexandria database).

```
Co2NiMo
1.0
-3.180 3.180 2.549
3.180 -3.180 2.549
3.180 3.180 -2.549
Co Ni Mo
4 2 2
direct
0.117 0.625 0.992 Co
0.375 0.367 0.492 Co
0.633 0.125 0.008 Co
0.875 0.883 0.508 Co
0.250 0.750 0.500 Ni
0.500 0.500 0.000 Ni
0.000 0.000 0.000 Mo
0.750 0.250 0.500 Mo
```

Excess energy over the best structure of this formula in the dataset in meV/atom: 528.6
Energy relative to the elements in meV per atom: 516

---

# 5
# Ga2Ni7Pt2W

A geometry-optimized Ga2Ni7Pt2W structure (PBE-GGA, the Alexandria database).

```
Ga2Ni7Pt2W
1.0
2.568 -2.581 0.000
2.568 2.581 0.000
0.000 0.000 11.843
Ga Ni Pt W
2 7 2 1
direct
0.000 0.000 0.178 Ga
0.000 0.000 0.822 Ga
0.000 0.500 0.351 Ni
0.000 0.500 0.649 Ni
0.251 0.749 0.000 Ni
0.500 0.000 0.351 Ni
0.500 0.000 0.649 Ni
0.500 0.500 0.500 Ni
0.749 0.251 0.000 Ni
0.500 0.500 0.187 Pt
0.500 0.500 0.813 Pt
0.000 0.000 0.500 W
```

Energy relative to the elements in meV per atom: -170

---

# 6
# LiZr2O

A geometry-optimized LiZr2O structure (PBE-GGA, the Alexandria database).

```
LiZr2O
1.0
-4.149 4.149 1.839
4.149 -4.149 1.839
4.149 4.149 -1.839
Li Zr O
2 4 2
direct
0.000 0.000 0.000 Li
0.750 0.250 0.500 Li
0.277 0.625 0.152 Zr
0.375 0.527 0.652 Zr
0.473 0.125 0.848 Zr
0.875 0.723 0.348 Zr
0.250 0.750 0.500 O
0.500 0.500 0.000 O
```

Formation energy from raw total energies in eV per atom: -1.10

---

# 7
# MgScNb2Ir

A geometry-optimized MgScNb2Ir structure (PBE-GGA, the Alexandria database).

```
MgScNb2Ir
1.0
4.779 0.000 0.000
0.000 4.779 0.000
0.000 0.000 4.730
Mg Sc Nb Ir
1 1 2 1
direct
0.000 0.000 0.000 Mg
0.500 0.500 0.500 Sc
0.000 0.500 0.500 Nb
0.500 0.000 0.500 Nb
0.500 0.500 0.000 Ir
```

Energy relative to the elements in meV per atom: 1231

---

# 8
# Be9Al2W

A geometry-optimized Be9Al2W structure (PBE-GGA, the Alexandria database).

```
Be9Al2W
1.0
2.199 1.270 6.846
-2.199 1.270 6.846
0.000 -2.540 6.846
Be Al W
9 2 1
direct
0.000 0.000 0.000 Be
0.080 0.080 0.581 Be
0.080 0.581 0.080 Be
0.168 0.168 0.168 Be
0.419 0.920 0.920 Be
0.581 0.080 0.080 Be
0.832 0.832 0.832 Be
0.920 0.419 0.920 Be
0.920 0.920 0.419 Be
0.361 0.361 0.361 Al
0.639 0.639 0.639 Al
0.500 0.500 0.500 W
```

Energy relative to the elements in meV per atom: -76

---

# 9
# NiAgCl2

A geometry-optimized NiAgCl2 structure (PBE-GGA, the Alexandria database).

```
NiAgCl2
1.0
5.245 0.000 0.000
0.000 3.381 0.000
-1.007 0.000 5.341
Ni Ag Cl
1 1 2
direct
0.000 0.000 0.000 Ni
0.000 0.000 0.500 Ag
0.255 0.500 0.207 Cl
0.745 0.500 0.793 Cl
```

Formation energy from raw total energies in eV per atom: -0.22
Excess energy over the best structure of this formula in the dataset in meV/atom: 67.2

---

# 10
# SrLaMgIn

A geometry-optimized SrLaMgIn structure (PBE-GGA, the Alexandria database).

```
SrLaMgIn
1.0
4.022 0.000 0.000
0.000 4.022 0.000
0.000 0.000 8.189
Sr La Mg In
1 1 1 1
direct
0.000 0.000 0.000 Sr
0.000 0.000 0.488 La
0.500 0.500 0.729 Mg
0.500 0.500 0.261 In
```

Energy relative to the elements in meV per atom: -275

---

# 11
# La3TbC8

A geometry-optimized La3TbC8 structure (PBE-GGA, the Alexandria database).

```
La3TbC8
1.0
0.000 5.227 3.926
5.218 0.000 3.926
5.218 5.227 0.000
La Tb C
3 1 8
direct
0.000 0.000 0.000 La
0.249 0.249 0.251 La
0.749 0.749 0.751 La
0.500 0.500 0.500 Tb
0.115 0.639 0.361 C
0.124 0.444 0.556 C
0.362 0.886 0.638 C
0.444 0.124 0.876 C
0.557 0.877 0.443 C
0.639 0.115 0.885 C
0.877 0.557 0.123 C
0.886 0.362 0.114 C
```

Energy relative to the elements in meV per atom: 123

---

# 12
# Tb3CeN3

A geometry-optimized Tb3CeN3 structure (PBE-GGA, the Alexandria database).

```
Tb3CeN3
1.0
4.632 -4.250 0.000
4.632 4.250 0.000
0.000 0.000 7.286
Tb Ce N
6 2 6
direct
0.199 0.801 0.750 Tb
0.308 0.308 0.000 Tb
0.308 0.308 0.500 Tb
0.692 0.692 0.000 Tb
0.692 0.692 0.500 Tb
0.801 0.199 0.250 Tb
0.199 0.801 0.250 Ce
0.801 0.199 0.750 Ce
0.150 0.160 0.750 N
0.160 0.150 0.250 N
0.489 0.511 0.250 N
0.511 0.489 0.750 N
0.840 0.850 0.750 N
0.850 0.840 0.250 N
```

Formation energy from raw total energies in eV per atom: -1.08

---

# 13
# AgPdI2

A geometry-optimized AgPdI2 structure (PBE-GGA, the Alexandria database).

```
AgPdI2
1.0
0.000 3.703 3.703
3.703 0.000 3.703
3.703 3.703 0.000
Ag Pd I
1 1 2
direct
0.000 0.000 0.000 Ag
0.500 0.500 0.500 Pd
0.250 0.250 0.250 I
0.750 0.750 0.750 I
```

Formation energy from raw total energies in eV per atom: 0.33
Excess energy over the best structure of this formula in the dataset in meV/atom: 395.3

---

# 14
# TmTlRh2

A geometry-optimized TmTlRh2 structure (PBE-GGA, the Alexandria database).

```
TmTlRh2
1.0
0.000 3.321 3.321
3.321 0.000 3.321
3.321 3.321 0.000
Tm Tl Rh
1 1 2
direct
0.000 0.000 0.000 Tm
0.500 0.500 0.500 Tl
0.250 0.250 0.250 Rh
0.750 0.750 0.750 Rh
```

Excess energy over the best structure of this formula in the dataset in meV/atom: 16.0
Energy relative to the elements in meV per atom: -587